(1)
Material: Zr2TaNbAg
Method: DFT, GGA-PBE
State: relaxed

a b c (Å): 5.0321 5.0321 5.0168
angles (deg): 90.00 90.00 90.00
Closest atoms and distances in Å follow each position.
Element x y z (fractional)
Zr 0.0000 0.5000 0.0000  2 Ta 2.52
Zr 0.5000 0.0000 0.0000  2 Ta 2.52
Nb 0.5000 0.5000 0.5000  8 Zr 3.55, 4 Ag 3.56
Ag 0.0000 0.0000 0.5000  2 Ta 2.51
Ta 0.0000 0.0000 0.0000  2 Ag 2.51, 4 Zr 2.52

Summary:
energy of formation from the pure elements = 1.39 eV per atom
DOS at the Fermi energy = 1.071 states/eV per atom
total moment = 1.53 μB per formula unit

(2)
Material: TcH2Cl
Method: DFT, GGA-PBE
State: relaxed

a b c (Å): 6.0695 6.0695 4.9133
angles (deg): 51.85 51.85 90.00
Closest atoms and distances in Å follow each position.
Element x y z (fractional)
Cl 0.2500 0.7500 0.5000  2 Tc 2.39, 4 H 2.46
Cl 0.5000 0.5000 0.0000  2 Tc 2.39, 4 H 2.46
H 0.9959 0.6250 0.2500  2 Tc 1.79
H 0.3750 0.2459 0.7500  2 Tc 1.79
H 0.7541 0.1250 0.2500  2 Tc 1.79
H 0.8750 0.0041 0.7500  2 Tc 1.79
Tc 0.0000 0.0000 0.0000  4 H 1.79
Tc 0.7500 0.2500 0.5000  4 H 1.79

Summary:
DOS at the Fermi energy = 0.857 states/eV per atom
offset from the most stable computed form = 0 meV/atom
total moment = 0.00 μB per formula unit

(3)
Material: VTe2Cl
Method: DFT, GGA-PBE
State: relaxed

a b c (Å): 6.8473 6.8473 7.4988
angles (deg): 62.83 62.83 90.00
Closest atoms and distances in Å follow each position.
Element x y z (fractional)
Cl 0.2500 0.7500 0.5000  4 Te 3.17
Cl 0.5000 0.5000 0.0000  4 Te 3.17
Te 0.3750 0.2956 0.7500  2 V 2.52
Te 0.0456 0.6250 0.2500  2 V 2.52
Te 0.8750 0.9544 0.7500  2 V 2.52
Te 0.7044 0.1250 0.2500  2 V 2.52
V 0.7500 0.2500 0.5000  4 Te 2.52
V 0.0000 0.0000 0.0000  4 Te 2.52

Summary:
uncorrected formation energy = 2 kJ/mol of atoms
DOS at the Fermi energy = 0.740 states/eV per atom
offset from the most stable computed form = 291 meV/atom
total moment = 0.31 μB per formula unit

(4)
Material: KTlCr
Method: DFT, GGA-PBE
State: relaxed

a b c (Å): 5.4978 5.4978 5.4978
angles (deg): 60.00 60.00 60.00
Closest atoms and distances in Å follow each position.
Element x y z (fractional)
K 0.7500 0.7500 0.7500  4 Cr 3.37, 4 Tl 3.37
Tl 0.0000 0.0000 0.0000  4 K 3.37
Cr 0.5000 0.5000 0.5000  4 K 3.37

Summary:
energy of formation from the pure elements = 1.08 eV per atom
DOS at the Fermi energy = 0.748 states/eV per atom
offset from the most stable computed form = 538 meV/atom
total moment = 5.02 μB per formula unit

(5)
Material: AcLa3Nd6
Method: DFT, GGA-PBE
State: relaxed

a b c (Å): 10.2290 10.2290 7.1819
angles (deg): 44.59 44.59 60.00
Closest atoms and distances in Å follow each position.
Element x y z (fractional)
Nd 0.2340 0.9005 0.2949  1 Ac 3.39, 2 La 3.50-3.53
Nd 0.3989 0.7256 0.7996  3 La 3.32-3.68
Nd 0.5706 0.2340 0.2949  1 Ac 3.39, 2 La 3.50-3.53
Nd 0.9005 0.5706 0.2949  1 Ac 3.39, 2 La 3.50-3.53
Nd 0.0759 0.3989 0.7996  3 La 3.32-3.68
Nd 0.7256 0.0759 0.7996  3 La 3.32-3.68
La 0.6323 0.6323 0.1030  1 La 2.87
La 0.3985 0.3985 0.8044  2 La 2.85-2.87
La 0.1657 0.1657 0.5028  1 La 2.85
Ac 0.8979 0.8979 0.3063  2 La 3.26-3.28, 3 Nd 3.39

Summary:
energy of formation from the pure elements = 0.26 eV per atom
DOS at the Fermi energy = 2.039 states/eV per atom
offset from the most stable computed form = 143 meV/atom
total moment = 0.00 μB per formula unit

(6)
Material: LaBS
Method: DFT, GGA-PBE
State: relaxed

a b c (Å): 4.0488 4.0488 7.4940
angles (deg): 99.62 99.62 91.51
Closest atoms and distances in Å follow each position.
Element x y z (fractional)
La 0.1805 0.1805 0.7256  1 B 2.65, 2 S 2.91-2.94
La 0.8195 0.8195 0.2744  1 B 2.65, 2 S 2.91-2.94
S 0.7115 0.7115 0.8300  1 B 1.90
S 0.2885 0.2885 0.1700  1 B 1.90
B 0.6358 0.6358 0.5683  1 B 1.63
B 0.3642 0.3642 0.4317  1 B 1.63

Summary:
uncorrected formation energy = -95 kJ/mol of atoms
DOS at the Fermi energy = 0.290 states/eV per atom
total moment = 0.00 μB per formula unit

(7)
Material: Zr2SiHg2
Method: DFT, GGA-PBE
State: relaxed

a b c (Å): 7.0566 7.0566 4.5419
angles (deg): 90.00 90.00 90.00
Closest atoms and distances in Å follow each position.
Element x y z (fractional)
Si 0.5000 0.5000 0.0000  4 Zr 2.65
Si 0.0000 0.0000 0.0000  4 Zr 2.65
Hg 0.3512 0.1488 0.5000  6 Zr 2.97-3.15, 1 Hg 2.97
Hg 0.1488 0.6488 0.5000  6 Zr 2.97-3.15, 1 Hg 2.97
Hg 0.8512 0.3512 0.5000  6 Zr 2.97-3.15, 1 Hg 2.97
Hg 0.6488 0.8512 0.5000  6 Zr 2.97-3.15, 1 Hg 2.97
Zr 0.1596 0.3404 0.0000  2 Si 2.65, 2 Hg 2.97
Zr 0.8404 0.6596 0.0000  2 Si 2.65, 2 Hg 2.97
Zr 0.3404 0.8404 0.0000  2 Si 2.65, 2 Hg 2.97
Zr 0.6596 0.1596 0.0000  2 Si 2.65, 2 Hg 2.97

Summary:
uncorrected formation energy = -10 kJ/mol of atoms
DOS at the Fermi energy = 0.735 states/eV per atom
total moment = 0.00 μB per formula unit

(8)
Material: ThMgRe
Method: DFT, GGA-PBE
State: relaxed

a b c (Å): 5.0743 4.2557 9.7474
angles (deg): 81.07 74.91 53.40
Closest atoms and distances in Å follow each position.
Element x y z (fractional)
Re 0.8194 0.3613 0.0000  3 Re 2.47-2.71
Re 0.1806 0.6387 0.0000  3 Re 2.47-2.71
Th 0.5962 0.0000 0.8077  2 Re 2.84
Th 0.4038 0.0000 0.1923  2 Re 2.84
Mg 0.2500 0.5000 0.5000  2 Mg 2.54
Mg 0.7500 0.5000 0.5000  2 Mg 2.54

Summary:
energy of formation from the pure elements = 0.35 eV per atom
DOS at the Fermi energy = 0.914 states/eV per atom
total moment = 0.00 μB per formula unit

(9)
Material: Ba6IrN
Method: DFT, GGA-PBE
State: relaxed

a b c (Å): 7.5202 7.5381 7.8286
angles (deg): 61.22 80.92 70.87
Closest atoms and distances in Å follow each position.
Element x y z (fractional)
Ba 0.2638 0.5859 0.2824  1 N 2.80, 1 Ir 3.04
Ba 0.2638 0.8683 0.7176  1 N 2.80, 1 Ir 3.04
Ba 0.7362 0.4141 0.7176  1 N 2.80, 1 Ir 3.04
Ba 0.2677 0.2576 0.0000  1 N 2.91, 1 Ir 3.22
Ba 0.7323 0.7424 0.0000  1 N 2.91, 1 Ir 3.22
Ba 0.7362 0.1317 0.2824  1 N 2.80, 1 Ir 3.04
N 0.5000 0.5000 0.0000  6 Ba 2.80-2.91
Ir 0.0000 0.0000 0.0000  6 Ba 3.04-3.22

Summary:
uncorrected formation energy = -17 kJ/mol of atoms
DOS at the Fermi energy = 0.984 states/eV per atom
total moment = 0.00 μB per formula unit

(10)
Material: SrCl
Method: DFT, GGA-PBE
State: relaxed

a b c (Å): 8.8651 8.8651 8.8651
angles (deg): 152.23 152.23 39.67
Closest atoms and distances in Å follow each position.
Element x y z (fractional)
Cl 0.2500 0.7500 0.5000  4 Sr 3.01
Cl 0.0000 0.0000 0.0000  4 Sr 3.01
Sr 0.7500 0.2500 0.5000  4 Cl 3.01
Sr 0.5000 0.5000 0.0000  4 Cl 3.01

Summary:
uncorrected formation energy = -146 kJ/mol of atoms
DOS at the Fermi energy = 0.677 states/eV per atom
total moment = 0.30 μB per formula unit

(11)
Material: SmGa2NiIr
Method: DFT, GGA-PBE
State: relaxed

a b c (Å): 4.1168 4.1168 5.9882
angles (deg): 110.11 110.11 90.00
Closest atoms and distances in Å follow each position.
Element x y z (fractional)
Ga 0.3772 0.3772 0.7544  2 Ni 2.45, 2 Ir 2.45, 1 Ga 2.57
Ga 0.6228 0.6228 0.2456  2 Ir 2.45, 2 Ni 2.45, 1 Ga 2.57
Sm 0.0000 0.0000 0.0000  8 Ga 3.18, 4 Ni 3.33, 4 Ir 3.33
Ir 0.7500 0.2500 0.5000  4 Ga 2.45
Ni 0.2500 0.7500 0.5000  4 Ga 2.45

Summary:
energy of formation from the pure elements = -0.62 eV per atom
DOS at the Fermi energy = 0.558 states/eV per atom
total moment = 0.00 μB per formula unit

(12)
Material: CeGaH6Ru
Method: DFT, GGA-PBE
State: relaxed

a b c (Å): 4.4931 4.4929 4.5690
angles (deg): 90.00 90.00 60.00
Closest atoms and distances in Å follow each position.
Element x y z (fractional)
H 0.5119 0.9761 0.7847  1 Ru 1.77, 1 Ga 1.90, 1 H 1.97
H 0.9761 0.5119 0.7847  1 Ru 1.77, 1 Ga 1.90, 1 H 1.97
H 0.5119 0.9761 0.2153  1 Ru 1.77, 1 Ga 1.90, 1 H 1.97
H 0.5119 0.5120 0.7847  1 Ru 1.77, 1 Ga 1.90, 1 H 1.97
H 0.5119 0.5119 0.2153  1 Ru 1.77, 1 Ga 1.90, 1 H 1.97
H 0.9761 0.5120 0.2152  1 Ru 1.77, 1 Ga 1.90, 1 H 1.97
Ru 0.6666 0.6667 0.5000  6 H 1.77
Ce 0.0000 0.0000 0.0000  12 H 2.45
Ga 0.3334 0.3333 0.5000  6 H 1.90

Summary:
DOS at the Fermi energy = 0.653 states/eV per atom
raw total energy = -4.4657 eV/atom
total moment = 0.94 μB per formula unit